A relaxed structure of CuRuPt2, computed with PBE.

Cell lengths 2.750, 2.750, 7.624 Å; angles 90.00, 90.00, 90.00 degrees
Element x y z (fractional)
Cu1 0.500 0.500 0.745
Pt1 0.000 0.000 0.987
Pt2 0.500 0.500 0.261
Ru1 0.000 0.000 0.506

## Properties
- energy above the lowest structure with this stoichiometry (meV/atom) = 89
- electronic total energy (eV/atom) = -6.322
- ρ (g cm⁻³) = 15.983
- ΔE_f (eV/f.u.) = 0.164
- DOS at the Fermi energy (states/eV/cell) = 3.29
- total magnetic moment (μB per formula unit) = 0.0

---

A relaxed structure of Dy2YEr, computed with PBE.

Cell lengths 6.535, 13.037, 7.051 Å; angles 90.01, 57.37, 90.01 degrees
Element x y z (fractional)
Dy1 0.060 0.434 0.876
Dy2 0.565 0.566 0.124
Dy3 0.560 0.066 0.376
Dy4 0.065 0.934 0.624
Dy5 0.565 0.063 0.874
Dy6 0.060 0.937 0.126
Dy7 0.065 0.437 0.374
Dy8 0.560 0.563 0.626
Y1 0.062 0.175 0.375
Y2 0.562 0.825 0.625
Y3 0.562 0.325 0.875
Y4 0.062 0.675 0.125
Er1 0.062 0.173 0.875
Er2 0.563 0.827 0.125
Er3 0.562 0.327 0.375
Er4 0.063 0.673 0.625

## Properties
- energy above the lowest structure with this stoichiometry (meV/atom) = 32
- electronic total energy (eV/atom) = -5.015
- ρ (g cm⁻³) = 7.629
- ΔE_f (eV/f.u.) = 0.172
- DOS at the Fermi energy (states/eV/cell) = 30.28
- total magnetic moment (μB per formula unit) = 0.0

---

A relaxed structure of Y2Tm5AgRu2, computed with PBE.

Cell lengths 3.846, 11.479, 11.479 Å; angles 90.00, 90.00, 90.00 degrees
Element x y z (fractional)
Y1 0.000 0.682 0.182
Y2 0.000 0.318 0.818
Y3 0.000 0.182 0.318
Y4 0.000 0.818 0.682
Tm1 0.500 0.209 0.063
Tm2 0.500 0.791 0.937
Tm3 0.500 0.063 0.791
Tm4 0.500 0.709 0.437
Tm5 0.500 0.937 0.209
Tm6 0.500 0.291 0.563
Tm7 0.500 0.563 0.709
Tm8 0.500 0.437 0.291
Tm9 0.500 0.500 0.000
Tm10 0.500 0.000 0.500
Ag1 0.000 0.000 0.000
Ag2 0.000 0.500 0.500
Ru1 0.000 0.130 0.630
Ru2 0.000 0.870 0.370
Ru3 0.000 0.630 0.870
Ru4 0.000 0.370 0.130

## Properties
- electronic total energy (eV/atom) = -5.990
- ρ (g cm⁻³) = 8.733
- ΔE_f (eV/f.u.) = -3.207
- DOS at the Fermi energy (states/eV/cell) = 21.18
- total magnetic moment (μB per formula unit) = 0.0

---

A relaxed structure of AcTb2Re, computed with PBE.

Cell lengths 3.412, 3.412, 11.752 Å; angles 81.65, 81.65, 60.00 degrees
Element x y z (fractional)
Re1 0.000 0.000 0.000
Ac1 0.500 0.500 0.500
Tb1 0.075 0.075 0.775
Tb2 0.925 0.925 0.225

## Properties
- electronic total energy (eV/atom) = -5.498
- ρ (g cm⁻³) = 10.395
- ΔE_f (eV/f.u.) = 3.826
- DOS at the Fermi energy (states/eV/cell) = 5.76
- total magnetic moment (μB per formula unit) = 0.0

---

A relaxed structure of MgAl2Mo, computed with PBE.

Cell lengths 2.784, 2.784, 8.678 Å; angles 90.00, 90.00, 90.21 degrees
Element x y z (fractional)
Al1 0.000 0.000 0.994
Al2 0.500 0.500 0.235
Mg1 0.000 0.000 0.506
Mo1 0.500 0.500 0.765

## Properties
- electronic total energy (eV/atom) = -4.908
- ρ (g cm⁻³) = 4.301
- ΔE_f (eV/f.u.) = 0.281
- DOS at the Fermi energy (states/eV/cell) = 2.75
- total magnetic moment (μB per formula unit) = 0.0

---

A relaxed structure of AcCuNi4, computed with PBE.

Cell lengths 5.044, 5.044, 5.044 Å; angles 60.00, 60.00, 60.00 degrees
Element x y z (fractional)
Ni1 0.627 0.627 0.120
Ni2 0.627 0.120 0.627
Ni3 0.627 0.627 0.627
Ni4 0.120 0.627 0.627
Ac1 0.250 0.250 0.250
Cu1 0.000 0.000 0.000

## Properties
- energy above the lowest structure with this stoichiometry (meV/atom) = 0
- electronic total energy (eV/atom) = -5.280
- ρ (g cm⁻³) = 9.616
- ΔE_f (eV/f.u.) = -0.352
- DOS at the Fermi energy (states/eV/cell) = 7.18
- total magnetic moment (μB per formula unit) = 1.1

---

A relaxed structure of MgSbS3, computed with PBE.

Cell lengths 4.751, 4.751, 4.751 Å; angles 90.00, 90.00, 90.00 degrees
Element x y z (fractional)
Sb1 0.500 0.500 0.500
S1 0.000 0.500 0.000
S2 0.000 0.000 0.500
S3 0.500 0.000 0.000
Mg1 0.000 0.000 0.000

## Properties
- raw formation energy (eV/f.u.) = 0.42
- energy above the lowest structure with this stoichiometry (meV/atom) = 554
- electronic total energy (eV/atom) = -3.537
- ρ (g cm⁻³) = 3.751
- DOS at the Fermi energy (states/eV/cell) = 2.99
- total magnetic moment (μB per formula unit) = 0.0

---

A relaxed structure of Zn2Cu2S, computed with PBE.

Cell lengths 6.285, 6.285, 3.741 Å; angles 90.00, 90.00, 90.00 degrees
Element x y z (fractional)
Zn1 0.150 0.650 0.500
Zn2 0.650 0.850 0.500
Zn3 0.850 0.350 0.500
Zn4 0.350 0.150 0.500
S1 0.000 0.000 0.000
S2 0.500 0.500 0.000
Cu1 0.356 0.856 0.000
Cu2 0.856 0.644 0.000
Cu3 0.644 0.144 0.000
Cu4 0.144 0.356 0.000

## Properties
- raw formation energy (eV/f.u.) = 0.42
- energy above the lowest structure with this stoichiometry (meV/atom) = 0
- electronic total energy (eV/atom) = -2.889
- ρ (g cm⁻³) = 6.518
- DOS at the Fermi energy (states/eV/cell) = 3.64
- total magnetic moment (μB per formula unit) = 0.0